First-principles (GGA-PBE) data for a relaxed structure of BaSr2Li, as listed in Alexandria via LeMat-Bulk.

a = 4.2641 Å, b = 4.2641 Å, c = 38.1866 Å
α = 90.00°, β = 90.00°, γ = 120.00°
Last column: nearest neighbours and their distance in Å.
Fractional coordinates of all 12 atoms:
Ba 0.0000 0.0000 0.0000  6 Ba 4.26, 6 Sr 4.37-4.39
Ba 0.3333 0.6667 0.6667  6 Ba 4.26, 6 Sr 4.37-4.39
Ba 0.6667 0.3333 0.3333  6 Ba 4.26, 6 Sr 4.37-4.39
Sr 0.0000 0.0000 0.5715  3 Li 3.69
Sr 0.0000 0.0000 0.7613  3 Li 3.68
Sr 0.3333 0.6667 0.2382  3 Li 3.69
Sr 0.3333 0.6667 0.4280  3 Li 3.68
Sr 0.6667 0.3333 0.0946  3 Li 3.68
Sr 0.6667 0.3333 0.9049  3 Li 3.69
Li 0.0000 0.0000 0.1663  6 Sr 3.68-3.69
Li 0.3333 0.6667 0.8330  6 Sr 3.68-3.69
Li 0.6667 0.3333 0.4996  6 Sr 3.68-3.69

Summary:
Its space group is R3m (160). For the total magnetic moment, the calculation gives 0.00 μB per cell. The offset from the most stable computed form is 0.0738 eV/atom. The value obtained for the formation energy is 0.368 eV/f.u.

First-principles (GGA-PBE) data for a relaxed structure of NbSe3Cl, as listed in Alexandria via LeMat-Bulk.

a = 5.0355 Å, b = 5.0355 Å, c = 5.0355 Å
α = 90.00°, β = 90.00°, γ = 90.00°
Last column: nearest neighbours and their distance in Å.
Fractional coordinates of all 5 atoms:
Nb 0.0000 0.0000 0.0000  6 Se 2.52
Se 0.0000 0.0000 0.5000  2 Nb 2.52
Se 0.0000 0.5000 0.0000  2 Nb 2.52
Se 0.5000 0.0000 0.0000  2 Nb 2.52
Cl 0.5000 0.5000 0.5000  12 Se 3.56

Summary:
Its space group is Pm-3m (221). For the total magnetic moment, the calculation gives 0.00 μB per cell. The offset from the most stable computed form is 0.3280 eV/atom.

First-principles (GGA-PBE) data for a relaxed structure of Mn2Pt, as listed in Alexandria via LeMat-Bulk.

a = 2.6240 Å, b = 3.5395 Å, c = 8.1188 Å
α = 90.00°, β = 90.00°, γ = 90.00°
Last column: nearest neighbours and their distance in Å.
Fractional coordinates of all 6 atoms:
Mn 0.0000 0.0000 0.1830  6 Mn 2.46-2.62, 5 Pt 2.57-2.66
Mn 0.0000 0.0000 0.8170  6 Mn 2.46-2.62, 5 Pt 2.57-2.66
Mn 0.5000 0.5000 0.3170  6 Mn 2.46-2.62, 5 Pt 2.57-2.66
Mn 0.5000 0.5000 0.6830  6 Mn 2.46-2.62, 5 Pt 2.57-2.66
Pt 0.0000 0.0000 0.5000  10 Mn 2.57-2.66, 2 Pt 2.62
Pt 0.5000 0.5000 0.0000  10 Mn 2.57-2.66, 2 Pt 2.62

Summary:
Its space group is Immm (71). For the total magnetic moment, the calculation gives 3.07 μB per cell. The value obtained for the formation energy is -0.038 eV/f.u.

First-principles (GGA-PBE) data for a relaxed structure of Pm8Sn3N2, as listed in Alexandria via LeMat-Bulk.

a = 9.9647 Å, b = 9.9647 Å, c = 9.9647 Å
α = 40.92°, β = 40.92°, γ = 40.92°
Last column: nearest neighbours and their distance in Å.
Fractional coordinates of all 13 atoms:
Pm 0.1831 0.1831 0.1831  1 N 2.21
Pm 0.2298 0.2298 0.7293  1 N 2.28
Pm 0.2298 0.7293 0.2298  1 N 2.28
Pm 0.2707 0.7702 0.7702  1 N 2.28
Pm 0.7293 0.2298 0.2298  1 N 2.28
Pm 0.7702 0.2707 0.7702  1 N 2.28
Pm 0.7702 0.7702 0.2707  1 N 2.28
Pm 0.8169 0.8169 0.8169  1 N 2.21
Sn 0.2979 0.2979 0.2979  4 Pm 3.14-3.36
Sn 0.5000 0.5000 0.5000  6 Pm 3.48
Sn 0.7021 0.7021 0.7021  4 Pm 3.14-3.36
N 0.1021 0.1021 0.1021  4 Pm 2.21-2.28
N 0.8979 0.8979 0.8979  4 Pm 2.21-2.28

Summary:
Its space group is R-3m (166). For the total magnetic moment, the calculation gives 0.00 μB per cell.

| no. | calculated total energy (eV per atom) |
| --- | --- |
| 1 | -1.71 |
| 2 | -4.57 |
| 3 | -8.14 |
| 4 | -5.83 |